The following is a PBE calculation of crystalline Nd13Er3 at its relaxed geometry, from Alexandria.

Values from the calculation:
* space group: Amm2
* crystal system: orthorhombic
* raw total energy: -4.715 eV/atom
* ΔE_f: 0.0142 eV/atom

Cell: 7.2929 7.2929 10.3146 Å, 90.00 90.00 90.06°
With the nearest neighbours (Å) after each atom.
Fractional positions:
1 Nd 0.5012 0.0012 0.2485  3 Er 3.63-3.66, 9 Nd 3.63-3.67
2 Er 0.9986 0.0014 0.2487  1 Er 3.61, 11 Nd 3.62-3.66
3 Nd 0.2474 0.2475 0.0000  4 Er 3.61-3.69, 8 Nd 3.61-3.68
4 Nd 0.7522 0.2478 0.5000  10 Nd 3.62-3.68, 2 Er 3.63
5 Nd 0.7522 0.7519 0.5000  10 Nd 3.62-3.68, 2 Er 3.64
6 Nd 0.7525 0.7526 0.0000  4 Er 3.61-3.69, 8 Nd 3.61-3.68
7 Nd 0.5012 0.0012 0.7515  3 Er 3.63-3.66, 9 Nd 3.63-3.67
8 Er 0.9986 0.0014 0.7513  1 Er 3.61, 11 Nd 3.62-3.66
9 Nd 0.5012 0.4988 0.2482  11 Nd 3.63-3.68, 1 Er 3.65
10 Nd 0.9988 0.4988 0.2485  3 Er 3.63-3.66, 9 Nd 3.63-3.67
11 Nd 0.5012 0.4988 0.7518  11 Nd 3.63-3.68, 1 Er 3.65
12 Nd 0.2475 0.7525 0.0000  10 Nd 3.61-3.68, 2 Er 3.63
13 Nd 0.2481 0.2478 0.5000  10 Nd 3.62-3.68, 2 Er 3.64
14 Nd 0.9988 0.4988 0.7515  3 Er 3.63-3.66, 9 Nd 3.63-3.67
15 Nd 0.2479 0.7521 0.5000  10 Nd 3.62-3.68, 2 Er 3.65
16 Er 0.7527 0.2473 0.0000  10 Nd 3.61-3.69, 2 Er 3.61